[1]
K2Ce2I7 | PBE | relaxed

```
11
Lattice="-2.1089 6.6333 4.7862 -7.3630 -0.2229 -2.9352 -1.0502 -4.8159 6.2115" Properties=species:S:1:pos:R:3 pbc="T T T"
K -7.3920 -0.4790 4.8611
K -3.1302 2.0735 3.2015
Ce -7.7128 5.1305 4.3998
Ce -2.8093 -3.5360 3.6628
I -2.1150 2.5925 6.7139
I -4.2007 1.5213 -0.2895
I -8.4071 -0.9981 1.3487
I -6.3214 0.0732 8.3520
I 0.0000 0.0000 0.0000
I -4.6890 -1.0020 2.7332
I -5.8331 2.5964 5.3294
```

Properties
The space-group type is No. 65. For the calculated volume, the calculation gives 47.74 Å³/atom. For the formation energy without anion corrections, the calculation gives -1307 meV/atom.



[2]
KLiTb2Cl8 | PBE | relaxed

```
12
Lattice="-4.2781 3.4714 3.8210 -2.4205 -5.1935 3.3730 5.9196 0.9721 5.7447" Properties=species:S:1:pos:R:3 pbc="T T T"
K 2.9598 0.4860 2.8723
Li 0.0000 0.0000 0.0000
Tb 1.1363 -0.1245 7.9500
Tb -1.9152 -0.6255 4.9887
Cl -1.4818 -3.1824 4.6549
Cl -4.5499 -1.2340 4.8973
Cl -2.6638 1.8795 5.0164
Cl 0.7029 2.4324 8.2838
Cl 3.7710 0.4840 8.0414
Cl 1.8849 -2.6295 7.9223
Cl -1.5193 -0.7392 7.6952
Cl 0.7404 -0.0108 5.2435
```

Properties
The space-group type is No. 10. For the calculated volume, the calculation gives 30.64 Å³/atom. For the formation energy without anion corrections, the calculation gives -2128 meV/atom.



- Which formula does entry 2 have?
  KLiTb2Cl8



- calculated volume of number 2 (KLiTb2Cl8)?
  30.64 Å³/atom